Record 1
# NdBr2

A relaxed structure of NdBr2 (PBE-GGA, OQMD).

Properties
Uncorrected energy ... -4.380 eV per atom

Unit cell a=3.637 b=3.637 c=13.880 alpha=90.00 beta=90.00 gamma=90.00
Space group I4/mmm (No. 139)
Asymmetric unit:
Nd 0.000 0.000 0.000 x2
Br 0.000 0.000 0.375 x4

Record 2
# NdBr2

A relaxed structure of NdBr2 (PBE-GGA, OQMD).

Properties
Uncorrected energy ... -2.986 eV per atom

Unit cell a=8.922 b=8.922 c=8.922 alpha=90.00 beta=90.00 gamma=90.00
Space group Fd-3m (No. 227, origin choice 2)
Asymmetric unit:
Nd 0.125 0.125 0.125 x8
Br 0.000 0.000 0.500 x16

Record 3
# NdBr

A relaxed structure of NdBr (PBE-GGA, OQMD).

Properties
Uncorrected energy ... -3.859 eV per atom

Unit cell a=6.712 b=6.712 c=6.712 alpha=90.00 beta=90.00 gamma=90.00
Space group F-43m (No. 216)
Asymmetric unit:
Nd 0.000 0.000 0.000 x4
Br 0.250 0.250 0.250 x4

Record 4
# Nd2Br

A relaxed structure of Nd2Br (PBE-GGA, OQMD).

Properties
Uncorrected energy ... -3.670 eV per atom

Unit cell a=9.334 b=9.334 c=9.334 alpha=90.00 beta=90.00 gamma=90.00
Space group Fd-3m (No. 227, origin choice 2)
Asymmetric unit:
Nd 0.000 0.000 0.000 x16
Br 0.125 0.125 0.625 x8

Record 5
# NdBr2

A relaxed structure of NdBr2 (PBE-GGA, OQMD).

Properties
Uncorrected energy ... -4.293 eV per atom

Unit cell a=7.482 b=7.482 c=3.746 alpha=90.00 beta=90.00 gamma=90.00
Space group P4_2/mnm (No. 136)
Asymmetric unit:
Nd 0.000 0.000 0.000 x2
Br 0.219 0.219 0.500 x4

Record 6
# NdBr3

A relaxed structure of NdBr3 (PBE-GGA, OQMD).

Properties
Uncorrected energy ... -4.251 eV per atom

Unit cell a=7.720 b=9.412 c=6.444 alpha=90.00 beta=90.00 gamma=90.00
Space group Pnma (No. 62)
Asymmetric unit:
Nd 0.125 0.250 0.046 x4
Br 0.032 0.750 0.365 x4
Br 0.173 0.565 0.849 x8

Record 7
# NdBr

A relaxed structure of NdBr (PBE-GGA, OQMD).

Properties
Uncorrected energy ... -4.387 eV per atom

Unit cell a=3.6980 b=3.6980 c=4.6250 alpha=90.00 beta=90.00 gamma=120.00
Space group P-6m2 (No. 187)
Asymmetric unit:
Nd 0.0000 0.0000 0.0000 x1
Br 0.3333 0.6667 0.5000 x1

Record 8
# Nd4NiBr5

A relaxed structure of Nd4NiBr5 (PBE-GGA, OQMD).

Properties
Uncorrected energy ... -4.668 eV per atom

Unit cell a=18.922 b=4.046 c=8.700 alpha=90.00 beta=103.82 gamma=90.00
Space group C2/m (No. 12)
Asymmetric unit:
Nd 0.000 0.000 0.216 x4
Nd 0.151 0.500 0.086 x4
Ni 0.000 0.500 0.000 x2
Br 0.000 0.500 0.500 x2
Br 0.166 0.000 0.345 x4
Br 0.173 0.000 0.838 x4

Record 9
# Nd2Br3O

A relaxed structure of Nd2Br3O (PBE-GGA, OQMD).

Properties
Uncorrected energy ... -5.538 eV per atom

Unit cell a=18.161 b=4.106 c=11.527 alpha=90.00 beta=123.36 gamma=90.00
Space group C2/m (No. 12)
Asymmetric unit:
Nd 0.075 0.000 0.457 x4
Nd 0.133 0.500 0.781 x4
Br 0.038 0.500 0.238 x4
Br 0.167 0.000 0.009 x4
Br 0.220 0.500 0.619 x4
O 0.080 0.000 0.666 x4

Record 10
# PrNdBrO

A relaxed structure of PrNdBrO (PBE-GGA, OQMD).

Properties
Uncorrected energy ... -5.924 eV per atom

Unit cell a=3.7055 b=3.7055 c=14.6272 alpha=90.00 beta=90.00 gamma=120.00
Space group P-3m1 (No. 164)
Asymmetric unit:
Pr 0.3333 0.6667 0.0930 x2
Nd 0.3333 0.6667 0.4096 x2
Br 0.3333 0.6667 0.7474 x2
O 0.0000 0.0000 0.0000 x1
O 0.0000 0.0000 0.5000 x1

Record 11
# PrNdBrO

A relaxed structure of PrNdBrO (PBE-GGA, OQMD).

Properties
Uncorrected energy ... -5.924 eV per atom

Unit cell a=3.7036 b=3.7036 c=14.6260 alpha=90.00 beta=90.00 gamma=120.00
Space group P-6m2 (No. 187)
Asymmetric unit:
Pr 0.0000 0.0000 0.1587 x2
Nd 0.3333 0.6667 0.3420 x2
Br 0.0000 0.0000 0.5000 x1
Br 0.3333 0.6667 0.0000 x1
O 0.6667 0.3333 0.2534 x2

Record 12
# PrNd3Br2O2

A relaxed structure of PrNd3Br2O2 (PBE-GGA, OQMD).

Properties
Uncorrected energy ... -5.921 eV per atom

Unit cell a=3.6961 b=3.6961 c=14.5756 alpha=90.00 beta=90.00 gamma=120.00
Space group P3m1 (No. 156)
Asymmetric unit:
Pr 0.0000 0.0000 0.0000 x1
Nd 0.0000 0.0000 0.6822 x1
Nd 0.3333 0.6667 0.1833 x1
Nd 0.3333 0.6667 0.5012 x1
Br 0.0000 0.0000 0.3421 x1
Br 0.3333 0.6667 0.8396 x1
O 0.6667 0.3333 0.0952 x1
O 0.6667 0.3333 0.5919 x1

Record 13
# PrNdBr2O2

A relaxed structure of PrNdBr2O2 (PBE-GGA, OQMD).

Properties
Uncorrected energy ... -6.645 eV per atom

Unit cell a=3.992 b=3.992 c=8.154 alpha=90.00 beta=90.00 gamma=90.00
Space group P4mm (No. 99)
Asymmetric unit:
Pr 0.000 0.000 0.000 x1
Nd 0.500 0.500 0.300 x1
Br 0.000 0.000 0.496 x1
Br 0.500 0.500 0.803 x1
O 0.000 0.500 0.152 x2

Record 14
# NdSmBr2O2

A relaxed structure of NdSmBr2O2 (PBE-GGA, OQMD).

Properties
Uncorrected energy ... -6.656 eV per atom

Unit cell a=3.942 b=3.942 c=8.266 alpha=90.00 beta=90.00 gamma=90.00
Space group P4mm (No. 99)
Asymmetric unit:
Nd 0.000 0.000 0.000 x1
Sm 0.500 0.500 0.292 x1
Br 0.000 0.000 0.487 x1
Br 0.500 0.500 0.805 x1
O 0.000 0.500 0.149 x2

Record 15
# TbNdBr2O2

A relaxed structure of TbNdBr2O2 (PBE-GGA, OQMD).

Properties
Uncorrected energy ... -6.657 eV per atom

Unit cell a=3.898 b=3.898 c=8.402 alpha=90.00 beta=90.00 gamma=90.00
Space group P4mm (No. 99)
Asymmetric unit:
Tb 0.000 0.000 0.000 x1
Nd 0.500 0.500 0.284 x1
Br 0.000 0.000 0.480 x1
Br 0.500 0.500 0.804 x1
O 0.000 0.500 0.134 x2

Record 16
# NdTeBrO3

A relaxed structure of NdTeBrO3 (PBE-GGA, OQMD).

Properties
Uncorrected energy ... -5.946 eV per atom

Unit cell a=3.901 b=3.901 c=26.534 alpha=90.00 beta=90.00 gamma=90.00
Space group P4/nmm (No. 129, origin choice 2)
Asymmetric unit:
Nd 0.250 0.250 0.047 x2
Nd 0.250 0.250 0.712 x2
Te 0.250 0.250 0.203 x2
Te 0.250 0.250 0.385 x2
Br 0.250 0.250 0.551 x2
Br 0.250 0.250 0.893 x2
O 0.250 0.250 0.278 x2
O 0.250 0.750 0.000 x2
O 0.250 0.750 0.221 x4
O 0.250 0.750 0.349 x4

Record 17
# Nd4OsBr5

A relaxed structure of Nd4OsBr5 (PBE-GGA, OQMD).

Properties
Uncorrected energy ... -5.210 eV per atom

Unit cell a=18.839 b=4.171 c=8.953 alpha=90.00 beta=104.70 gamma=90.00
Space group C2/m (No. 12)
Asymmetric unit:
Nd 0.001 0.000 0.223 x4
Nd 0.147 0.500 0.083 x4
Os 0.000 0.500 0.000 x2
Br 0.000 0.500 0.500 x2
Br 0.168 0.000 0.334 x4
Br 0.172 0.000 0.849 x4

Record 18
# Nd4OsBr4

A relaxed structure of Nd4OsBr4 (PBE-GGA, OQMD).

Properties
Uncorrected energy ... -5.351 eV per atom

Unit cell a=13.174 b=13.061 c=6.691 alpha=90.00 beta=90.55 gamma=90.00
Space group C2/c (No. 15)
Asymmetric unit:
Nd 0.077 0.175 0.492 x8
Nd 0.174 0.077 0.005 x8
Os 0.000 0.003 0.750 x4
Br 0.114 0.300 0.071 x8
Br 0.201 0.388 0.575 x8

Record 19
# NdOsBr

A relaxed structure of NdOsBr (PBE-GGA, OQMD).

Properties
Uncorrected energy ... -6.827 eV per atom

Unit cell a=7.358 b=4.251 c=11.748 alpha=90.00 beta=102.18 gamma=90.00
Space group Cm (No. 8)
Asymmetric unit:
Nd 0.000 0.000 0.000 x2
Nd 0.121 0.000 0.359 x2
Os 0.227 0.500 0.179 x2
Os 0.394 0.000 0.179 x2
Br 0.111 0.500 0.836 x2
Br 0.343 0.500 0.523 x2

Record 20
# Nd4PBr5

A relaxed structure of Nd4PBr5 (PBE-GGA, OQMD).

Properties
Uncorrected energy ... -4.963 eV per atom

Unit cell a=18.595 b=4.123 c=8.592 alpha=90.00 beta=103.46 gamma=90.00
Space group C2/m (No. 12)
Asymmetric unit:
Nd 0.000 0.000 0.220 x4
Nd 0.150 0.500 0.081 x4
P 0.000 0.500 0.000 x2
Br 0.000 0.500 0.500 x2
Br 0.166 0.000 0.338 x4
Br 0.171 0.000 0.835 x4

Record 21
# PrNdPBr

A relaxed structure of PrNdPBr (PBE-GGA, OQMD).

Properties
Uncorrected energy ... -5.676 eV per atom
E above lowest polymorph ... 0 meV/atom

Unit cell a=4.1371 b=4.1371 c=14.8905 alpha=90.00 beta=90.00 gamma=120.00
Space group P-6m2 (No. 187)
Asymmetric unit:
Pr 0.0000 0.0000 0.1489 x2
Nd 0.3333 0.6667 0.3525 x2
P 0.6667 0.3333 0.2522 x2
Br 0.0000 0.0000 0.5000 x1
Br 0.3333 0.6667 0.0000 x1

Record 22
# PrNdPBr

A relaxed structure of PrNdPBr (PBE-GGA, OQMD).

Properties
Uncorrected energy ... -5.665 eV per atom
E above lowest polymorph ... 11 meV/atom

Unit cell a=4.1914 b=4.1914 c=21.9570 alpha=90.00 beta=90.00 gamma=120.00
Space group R3m (No. 160, hexagonal axes)
Asymmetric unit:
Pr 0.0000 0.0000 0.0000 x3
Nd 0.0000 0.0000 0.4675 x3
P 0.0000 0.0000 0.7347 x3
Br 0.0000 0.0000 0.2329 x3

Record 23
# PrNdPBr

A relaxed structure of PrNdPBr (PBE-GGA, OQMD).

Properties
Uncorrected energy ... -5.676 eV per atom
E above lowest polymorph ... 0 meV/atom

Unit cell a=4.1473 b=4.1473 c=14.8625 alpha=90.00 beta=90.00 gamma=120.00
Space group P-3m1 (No. 164)
Asymmetric unit:
Pr 0.3333 0.6667 0.1026 x2
Nd 0.3333 0.6667 0.3997 x2
P 0.0000 0.0000 0.0000 x1
P 0.0000 0.0000 0.5000 x1
Br 0.3333 0.6667 0.7472 x2

Record 24
# NdPuPBr2

A relaxed structure of NdPuPBr2 (PBE-GGA, OQMD).

Properties
Uncorrected energy ... -7.148 eV per atom

Unit cell a=4.1130 b=4.1130 c=10.7252 alpha=90.00 beta=90.00 gamma=120.00
Space group P3m1 (No. 156)
Asymmetric unit:
Nd 0.0000 0.0000 0.0000 x1
Pu 0.3333 0.6667 0.7036 x1
P 0.6667 0.3333 0.8476 x1
Br 0.0000 0.0000 0.5368 x1
Br 0.3333 0.6667 0.1754 x1